Record 1
First-principles (PBE) data for an optimized crystal structure of RbNa3N, as listed in Alexandria via LeMat-Bulk.

abc: 5.1467 5.1467 5.1467
angles: 90.00 90.00 90.00
Closest atoms and distances in Å follow each position.
Element x y z (fractional)
Rb (0.0000, 0.0000, 0.0000)  12 Na 3.64
Na (0.0000, 0.5000, 0.5000)  2 N 2.57
Na (0.5000, 0.0000, 0.5000)  2 N 2.57
Na (0.5000, 0.5000, 0.0000)  2 N 2.57
N (0.5000, 0.5000, 0.5000)  6 Na 2.57

Results
spin magnetization = 0.0 μB per cell
space-group type = Pm-3m, No. 221
ΔE to the lowest computed polymorph = 0.00 eV/f.u.
formation energy (no corrections) = 169 kJ/mol of formula units
E_tot = -11.499 eV/cell
volume = 136 Å³/f.u.

=====

Record 2
First-principles (PBE) data for an optimized crystal structure of RbNaN3, as listed in Alexandria via LeMat-Bulk.

abc: 4.6351 4.6351 4.6351
angles: 90.00 90.00 90.00
Closest atoms and distances in Å follow each position.
Element x y z (fractional)
Rb (0.0000, 0.0000, 0.0000)  12 N 3.28
Na (0.5000, 0.5000, 0.5000)  6 N 2.32
N (0.0000, 0.5000, 0.5000)  2 Na 2.32
N (0.5000, 0.0000, 0.5000)  2 Na 2.32
N (0.5000, 0.5000, 0.0000)  2 Na 2.32

Results
spin magnetization = 7.0 μB per cell
space-group type = Pm-3m, No. 221
formation energy (no corrections) = 990 kJ/mol of formula units
E_tot = -17.004 eV/cell
volume = 100 Å³/f.u.

=====

Record 3
First-principles (PBE) data for an optimized crystal structure of Rb2NaN, as listed in Alexandria via LeMat-Bulk.

abc: 8.5146 8.5146 8.5146
angles: 94.41 94.41 147.79
Closest atoms and distances in Å follow each position.
Element x y z (fractional)
Rb (0.3750, 0.0670, 0.1920)  2 N 3.03
Rb (0.8170, 0.6250, 0.6920)  2 N 3.03
Rb (0.8750, 0.1830, 0.8080)  2 N 3.03
Rb (0.9330, 0.1250, 0.3080)  2 N 3.03
Na (0.2500, 0.7500, 0.5000)  2 N 2.36
Na (0.5000, 0.5000, 0.0000)  2 N 2.36
N (0.0000, 0.0000, 0.0000)  2 Na 2.36
N (0.7500, 0.2500, 0.5000)  2 Na 2.36

Results
spin magnetization = 0.2 μB per cell
space-group type = I-42d, No. 122
formation energy (no corrections) = 178 kJ/mol of formula units
E_tot = -19.459 eV/cell
volume = 158 Å³/f.u.

=====

Record 4
First-principles (PBE) data for an optimized crystal structure of RbNaN4, as listed in Alexandria via LeMat-Bulk.

abc: 7.3955 7.3955 7.3955
angles: 131.74 131.74 70.64
Closest atoms and distances in Å follow each position.
Element x y z (fractional)
Rb (0.3750, 0.6250, 0.7500)  12 N 3.08-3.15
Rb (0.6250, 0.3750, 0.2500)  12 N 3.08-3.15
Na (0.1250, 0.8750, 0.2500)  4 N 2.43
Na (0.8750, 0.1250, 0.7500)  4 N 2.43
N (0.1189, 0.2710, 0.6521)  1 N 1.18
N (0.1189, 0.4668, 0.8479)  1 N 1.18
N (0.2710, 0.1189, 0.1521)  1 N 1.18
N (0.4668, 0.1189, 0.3479)  1 N 1.18
N (0.5332, 0.8811, 0.6521)  1 N 1.18
N (0.7290, 0.8811, 0.8479)  1 N 1.18
N (0.8811, 0.5332, 0.1521)  1 N 1.18
N (0.8811, 0.7290, 0.3479)  1 N 1.18

Results
spin magnetization = 3.0 μB per cell
space-group type = I4_1/amd, No. 141
formation energy (no corrections) = -47 kJ/mol of formula units
E_tot = -72.148 eV/cell
volume = 110 Å³/f.u.

=====

Record 5
First-principles (PBE) data for an optimized crystal structure of RbNaN3, as listed in Alexandria via LeMat-Bulk.

abc: 5.0743 5.0743 5.0743
angles: 90.00 90.00 90.00
Closest atoms and distances in Å follow each position.
Element x y z (fractional)
Rb (0.0000, 0.0000, 0.0000)  6 N 2.54
Na (0.5000, 0.5000, 0.5000)  12 N 3.59
N (0.0000, 0.0000, 0.5000)  2 Rb 2.54
N (0.0000, 0.5000, 0.0000)  2 Rb 2.54
N (0.5000, 0.0000, 0.0000)  2 Rb 2.54

Results
spin magnetization = 7.0 μB per cell
space-group type = Pm-3m, No. 221
formation energy (no corrections) = 1189 kJ/mol of formula units
E_tot = -14.943 eV/cell
volume = 131 Å³/f.u.

=====

Record 6
First-principles (PBE) data for an optimized crystal structure of RbNaReN3, as listed in Alexandria via LeMat-Bulk.

abc: 6.5342 6.5342 5.5610
angles: 91.97 91.97 123.91
Closest atoms and distances in Å follow each position.
Element x y z (fractional)
Rb (0.2307, 0.7693, 0.7500)  4 N 2.88-3.09
Rb (0.7693, 0.2307, 0.2500)  4 N 2.88-3.09
Na (0.0772, 0.9228, 0.2500)  5 N 2.43-2.53
Na (0.9228, 0.0772, 0.7500)  5 N 2.43-2.53
Re (0.4499, 0.5501, 0.2500)  3 N 1.76-1.96
Re (0.5501, 0.4499, 0.7500)  3 N 1.76-1.96
N (0.2759, 0.3038, 0.5037)  2 Re 1.96-2.02
N (0.2970, 0.7030, 0.2500)  1 Re 1.76
N (0.3038, 0.2759, 0.0037)  2 Re 1.96-2.02
N (0.6962, 0.7241, 0.9963)  2 Re 1.96-2.02
N (0.7030, 0.2970, 0.7500)  1 Re 1.76
N (0.7241, 0.6962, 0.4963)  2 Re 1.96-2.02

Results
spin magnetization = 0.0 μB per cell
space-group type = C2/c, No. 15
formation energy (no corrections) = -95 kJ/mol of formula units
E_tot = -81.384 eV/cell
volume = 98 Å³/f.u.

=====

Record 7
First-principles (PBE) data for an optimized crystal structure of RbNaS2N, as listed in Alexandria via LeMat-Bulk.

abc: 5.3416 5.3416 5.0025
angles: 90.00 90.00 90.00
Closest atoms and distances in Å follow each position.
Element x y z (fractional)
Rb (0.0000, 0.0000, 0.0000)  8 S 3.66, 4 N 3.78
Na (0.5000, 0.5000, 0.5000)  2 N 2.50, 4 S 2.67
S (0.0000, 0.5000, 0.5000)  2 Na 2.67
S (0.5000, 0.0000, 0.5000)  2 Na 2.67
N (0.5000, 0.5000, 0.0000)  2 Na 2.50

Results
spin magnetization = 5.0 μB per cell
space-group type = P4/mmm, No. 123
ΔE to the lowest computed polymorph = 0.00 eV/f.u.
formation energy (no corrections) = 349 kJ/mol of formula units
E_tot = -15.252 eV/cell
volume = 143 Å³/f.u.

=====

Record 8
First-principles (PBE) data for an optimized crystal structure of RbNaS2N, as listed in Alexandria via LeMat-Bulk.

abc: 6.0310 6.0310 5.4378
angles: 90.00 90.00 90.00
Closest atoms and distances in Å follow each position.
Element x y z (fractional)
Rb (0.0000, 0.0000, 0.0000)  2 N 2.72, 4 S 3.02
Na (0.5000, 0.5000, 0.5000)  8 S 4.06, 4 N 4.26
S (0.0000, 0.5000, 0.0000)  2 Rb 3.02
S (0.5000, 0.0000, 0.0000)  2 Rb 3.02
N (0.0000, 0.0000, 0.5000)  2 Rb 2.72

Results
spin magnetization = 5.0 μB per cell
space-group type = P4/mmm, No. 123
ΔE to the lowest computed polymorph = 2.10 eV/f.u.
formation energy (no corrections) = 551 kJ/mol of formula units
E_tot = -13.156 eV/cell
volume = 198 Å³/f.u.

=====

Record 9
First-principles (PBE) data for an optimized crystal structure of RbNaSeN2, as listed in Alexandria via LeMat-Bulk.

abc: 5.0292 5.0292 5.5320
angles: 90.00 90.00 90.00
Closest atoms and distances in Å follow each position.
Element x y z (fractional)
Rb (0.0000, 0.0000, 0.0000)  4 Se 3.56, 8 N 3.74
Na (0.5000, 0.5000, 0.5000)  4 N 2.51, 2 Se 2.77
Se (0.5000, 0.5000, 0.0000)  2 Na 2.77
N (0.0000, 0.5000, 0.5000)  2 Na 2.51
N (0.5000, 0.0000, 0.5000)  2 Na 2.51

Results
spin magnetization = 6.0 μB per cell
space-group type = P4/mmm, No. 123
ΔE to the lowest computed polymorph = 0.00 eV/f.u.
formation energy (no corrections) = 629 kJ/mol of formula units
E_tot = -15.903 eV/cell
volume = 140 Å³/f.u.

=====

Record 10
First-principles (PBE) data for an optimized crystal structure of RbNaSe2N, as listed in Alexandria via LeMat-Bulk.

abc: 5.3580 5.3580 5.2120
angles: 90.00 90.00 90.00
Closest atoms and distances in Å follow each position.
Element x y z (fractional)
Rb (0.0000, 0.0000, 0.0000)  8 Se 3.74, 4 N 3.79
Na (0.5000, 0.5000, 0.5000)  2 N 2.61, 4 Se 2.68
Se (0.0000, 0.5000, 0.5000)  2 Na 2.68
Se (0.5000, 0.0000, 0.5000)  2 Na 2.68
N (0.5000, 0.5000, 0.0000)  2 Na 2.61

Results
spin magnetization = 3.2 μB per cell
space-group type = P4/mmm, No. 123
ΔE to the lowest computed polymorph = 0.00 eV/f.u.
formation energy (no corrections) = 291 kJ/mol of formula units
E_tot = -14.564 eV/cell
volume = 150 Å³/f.u.

=====

Record 11
First-principles (PBE) data for an optimized crystal structure of RbNaSeN2, as listed in Alexandria via LeMat-Bulk.

abc: 5.3577 5.3577 6.5707
angles: 90.00 90.00 90.00
Closest atoms and distances in Å follow each position.
Element x y z (fractional)
Rb (0.0000, 0.0000, 0.0000)  4 N 2.68
Na (0.5000, 0.5000, 0.5000)  4 Se 3.79, 8 N 4.24
Se (0.0000, 0.0000, 0.5000)  2 Rb 3.29
N (0.0000, 0.5000, 0.0000)  2 Rb 2.68
N (0.5000, 0.0000, 0.0000)  2 Rb 2.68

Results
spin magnetization = 6.0 μB per cell
space-group type = P4/mmm, No. 123
ΔE to the lowest computed polymorph = 1.75 eV/f.u.
formation energy (no corrections) = 798 kJ/mol of formula units
E_tot = -14.152 eV/cell
volume = 189 Å³/f.u.

=====

Record 12
First-principles (PBE) data for an optimized crystal structure of RbNaSe2N, as listed in Alexandria via LeMat-Bulk.

abc: 6.2913 6.2913 5.4322
angles: 90.00 90.00 90.00
Closest atoms and distances in Å follow each position.
Element x y z (fractional)
Rb (0.0000, 0.0000, 0.0000)  2 N 2.72
Na (0.5000, 0.5000, 0.5000)  8 Se 4.16, 4 N 4.45
Se (0.0000, 0.5000, 0.0000)  2 Rb 3.15
Se (0.5000, 0.0000, 0.0000)  2 Rb 3.15
N (0.0000, 0.0000, 0.5000)  2 Rb 2.72

Results
spin magnetization = 5.0 μB per cell
space-group type = P4/mmm, No. 123
ΔE to the lowest computed polymorph = 2.08 eV/f.u.
formation energy (no corrections) = 492 kJ/mol of formula units
E_tot = -12.484 eV/cell
volume = 215 Å³/f.u.